NaAc2Hf after structural relaxation. Source: the Alexandria database, functional GGA-PBE.

Properties
As for the total DFT energy (no corrections): -51.37 eV per cell. The space group is R-3m (166). The formation energy from the elements is 591 meV per atom.

Unit cell a=3.559 b=3.559 c=39.520 alpha=90.00 beta=90.00 gamma=120.00
Sites, in units of the cell vectors:
Na 0.000 0.000 0.000
Na 0.333 0.667 0.667
Na 0.667 0.333 0.333
Ac 0.000 0.000 0.420
Ac 0.000 0.000 0.580
Ac 0.333 0.667 0.087
Ac 0.333 0.667 0.247
Ac 0.667 0.333 0.753
Ac 0.667 0.333 0.913
Hf 0.000 0.000 0.500
Hf 0.333 0.667 0.167
Hf 0.667 0.333 0.833

NaAcHfO4 after structural relaxation. Source: the Alexandria database, functional GGA-PBE.

Properties
As for the total DFT energy (no corrections): -113.30 eV per cell. The space group is I4mm (107). The formation energy without anion corrections comes out at -3062 meV/atom.

Unit cell a=4.053 b=4.053 c=13.031 alpha=90.00 beta=90.00 gamma=90.00
Sites, in units of the cell vectors:
Na 0.000 0.000 0.000
Na 0.500 0.500 0.500
Ac 0.000 0.000 0.307
Ac 0.500 0.500 0.807
Hf 0.000 0.000 0.645
Hf 0.500 0.500 0.145
O 0.000 0.000 0.492
O 0.000 0.000 0.822
O 0.000 0.500 0.169
O 0.000 0.500 0.669
O 0.500 0.000 0.169
O 0.500 0.000 0.669
O 0.500 0.500 0.322
O 0.500 0.500 0.992

Na4Ac3HfO8 after structural relaxation. Source: the Alexandria database, functional GGA-PBE.

Properties
As for the total DFT energy (no corrections): -107.25 eV per cell. The space group is R-3m (166). The formation energy without anion corrections comes out at -2502 meV/atom.

Unit cell a=7.156 b=7.156 c=7.156 alpha=62.06 beta=62.06 gamma=62.06
Sites, in units of the cell vectors:
Na 0.000 0.000 0.000
Na 0.000 0.500 0.500
Na 0.500 0.000 0.500
Na 0.500 0.500 0.000
Ac 0.000 0.000 0.500
Ac 0.000 0.500 0.000
Ac 0.500 0.000 0.000
Hf 0.500 0.500 0.500
O 0.243 0.243 0.243
O 0.283 0.708 0.708
O 0.292 0.292 0.717
O 0.292 0.717 0.292
O 0.708 0.283 0.708
O 0.708 0.708 0.283
O 0.717 0.292 0.292
O 0.757 0.757 0.757

Na2AcHf3O8 after structural relaxation. Source: the Alexandria database, functional GGA-PBE.

Properties
As for the total DFT energy (no corrections): -117.60 eV per cell. The space group is R3m (160). The formation energy without anion corrections comes out at -2952 meV/atom.

Unit cell a=6.841 b=6.841 c=6.841 alpha=57.42 beta=57.42 gamma=57.42
Sites, in units of the cell vectors:
Na 0.000 0.000 0.000
Na 0.379 0.379 0.379
Ac 0.758 0.758 0.758
Hf 0.378 0.378 0.888
Hf 0.378 0.888 0.378
Hf 0.888 0.378 0.378
O 0.127 0.127 0.575
O 0.127 0.575 0.127
O 0.148 0.148 0.148
O 0.190 0.628 0.628
O 0.575 0.127 0.127
O 0.612 0.612 0.612
O 0.628 0.190 0.628
O 0.628 0.628 0.190

Na3Ac2HfO6 after structural relaxation. Source: the Alexandria database, functional GGA-PBE.

Properties
As for the total DFT energy (no corrections): -82.09 eV per cell. The space group is C2/m (12). The formation energy without anion corrections comes out at -2517 meV/atom.

Unit cell a=6.440 b=6.440 c=6.081 alpha=95.66 beta=95.66 gamma=122.15
Sites, in units of the cell vectors:
Na 0.000 0.000 0.000
Na 0.365 0.635 0.000
Na 0.635 0.365 0.000
Ac 0.168 0.832 0.500
Ac 0.832 0.168 0.500
Hf 0.500 0.500 0.500
O 0.179 0.457 0.316
O 0.250 0.250 0.699
O 0.457 0.179 0.316
O 0.543 0.821 0.684
O 0.750 0.750 0.301
O 0.821 0.543 0.684

Na4Ac3HfS8 after structural relaxation. Source: the Alexandria database, functional GGA-PBE.

Properties
As for the total DFT energy (no corrections): -87.20 eV per cell. The space group is R-3m (166). The formation energy without anion corrections comes out at -1664 meV/atom.

Unit cell a=8.311 b=8.311 c=8.311 alpha=60.56 beta=60.56 gamma=60.56
Sites, in units of the cell vectors:
Na 0.000 0.000 0.000
Na 0.000 0.500 0.500
Na 0.500 0.000 0.500
Na 0.500 0.500 0.000
Ac 0.000 0.000 0.500
Ac 0.000 0.500 0.000
Ac 0.500 0.000 0.000
Hf 0.500 0.500 0.500
S 0.252 0.252 0.252
S 0.277 0.277 0.720
S 0.277 0.720 0.277
S 0.280 0.723 0.723
S 0.720 0.277 0.277
S 0.723 0.280 0.723
S 0.723 0.723 0.280
S 0.748 0.748 0.748

NaAcHfS4 after structural relaxation. Source: the Alexandria database, functional GGA-PBE.

Properties
As for the total DFT energy (no corrections): -86.75 eV per cell. The space group is I4mm (107). The formation energy without anion corrections comes out at -1640 meV/atom.

Unit cell a=4.877 b=4.877 c=15.216 alpha=90.00 beta=90.00 gamma=90.00
Sites, in units of the cell vectors:
Na 0.000 0.000 0.000
Na 0.500 0.500 0.500
Ac 0.000 0.000 0.292
Ac 0.500 0.500 0.792
Hf 0.000 0.000 0.641
Hf 0.500 0.500 0.141
S 0.000 0.000 0.483
S 0.000 0.000 0.820
S 0.000 0.500 0.162
S 0.000 0.500 0.662
S 0.500 0.000 0.162
S 0.500 0.000 0.662
S 0.500 0.500 0.320
S 0.500 0.500 0.983

Na2AcHfS4 after structural relaxation. Source: the Alexandria database, functional GGA-PBE.

Properties
As for the total DFT energy (no corrections): -45.54 eV per cell. The space group is P2/m (10). The formation energy without anion corrections comes out at -1542 meV/atom.

Unit cell a=7.047 b=3.961 c=7.144 alpha=90.00 beta=108.71 gamma=90.00
Sites, in units of the cell vectors:
Na 0.000 0.000 0.000
Na 0.500 0.500 0.000
Ac 0.000 0.500 0.500
Hf 0.500 0.000 0.500
S 0.285 0.000 0.738
S 0.288 0.500 0.280
S 0.712 0.500 0.720
S 0.715 0.000 0.262

Na3Ac2HfSe6 after structural relaxation. Source: the Alexandria database, functional GGA-PBE.

Properties
As for the total DFT energy (no corrections): -61.16 eV per cell. The space group is C2/m (12). The formation energy without anion corrections comes out at -1510 meV/atom.

Unit cell a=7.436 b=7.436 c=7.494 alpha=99.64 beta=99.64 gamma=120.01
Sites, in units of the cell vectors:
Na 0.000 0.000 0.000
Na 0.334 0.666 0.000
Na 0.666 0.334 0.000
Ac 0.167 0.833 0.500
Ac 0.833 0.167 0.500
Hf 0.500 0.500 0.500
Se 0.122 0.420 0.263
Se 0.281 0.281 0.731
Se 0.420 0.122 0.263
Se 0.580 0.878 0.737
Se 0.719 0.719 0.269
Se 0.878 0.580 0.737

Na3Ac3HfSe8 after structural relaxation. Source: the Alexandria database, functional GGA-PBE.

Properties
As for the total DFT energy (no corrections): -78.64 eV per cell. The space group is R-3m (166). The formation energy without anion corrections comes out at -1635 meV/atom.

Unit cell a=8.667 b=8.667 c=8.667 alpha=61.06 beta=61.06 gamma=61.06
Sites, in units of the cell vectors:
Na 0.000 0.500 0.500
Na 0.500 0.000 0.500
Na 0.500 0.500 0.000
Ac 0.000 0.000 0.500
Ac 0.000 0.500 0.000
Ac 0.500 0.000 0.000
Hf 0.500 0.500 0.500
Se 0.249 0.249 0.249
Se 0.278 0.278 0.721
Se 0.278 0.721 0.278
Se 0.279 0.722 0.722
Se 0.721 0.278 0.278
Se 0.722 0.279 0.722
Se 0.722 0.722 0.279
Se 0.751 0.751 0.751

Na3Ac2HfTe6 after structural relaxation. Source: the Alexandria database, functional GGA-PBE.

Properties
As for the total DFT energy (no corrections): -54.83 eV per cell. The space group is C2/m (12). The formation energy without anion corrections comes out at -1154 meV/atom.

Unit cell a=7.903 b=7.903 c=8.050 alpha=99.58 beta=99.58 gamma=120.02
Sites, in units of the cell vectors:
Na 0.000 0.000 0.000
Na 0.327 0.673 0.000
Na 0.673 0.327 0.000
Ac 0.166 0.834 0.500
Ac 0.834 0.166 0.500
Hf 0.500 0.500 0.500
Te 0.119 0.420 0.260
Te 0.282 0.282 0.737
Te 0.420 0.119 0.260
Te 0.580 0.881 0.740
Te 0.718 0.718 0.263
Te 0.881 0.580 0.740

Na3Ac3HfTe8 after structural relaxation. Source: the Alexandria database, functional GGA-PBE.

Properties
As for the total DFT energy (no corrections): -70.10 eV per cell. The space group is R-3m (166). The formation energy without anion corrections comes out at -1249 meV/atom.

Unit cell a=9.324 b=9.324 c=9.324 alpha=60.05 beta=60.05 gamma=60.05
Sites, in units of the cell vectors:
Na 0.000 0.500 0.500
Na 0.500 0.000 0.500
Na 0.500 0.500 0.000
Ac 0.000 0.000 0.500
Ac 0.000 0.500 0.000
Ac 0.500 0.000 0.000
Hf 0.500 0.500 0.500
Te 0.251 0.251 0.251
Te 0.276 0.276 0.721
Te 0.276 0.721 0.276
Te 0.279 0.724 0.724
Te 0.721 0.276 0.276
Te 0.724 0.279 0.724
Te 0.724 0.724 0.279
Te 0.749 0.749 0.749

AcHfNb after structural relaxation. Source: the Alexandria database, functional GGA-PBE.

Properties
As for the total DFT energy (no corrections): -45.48 eV per cell. The space group is Fmmm (69). The formation energy from the elements is 464 meV per atom.

Unit cell a=7.354 b=6.368 c=5.663 alpha=75.10 beta=56.81 gamma=48.09
Sites, in units of the cell vectors:
Ac 0.174 0.826 0.174
Ac 0.826 0.174 0.826
Hf 0.324 0.324 0.676
Hf 0.676 0.676 0.324
Nb 0.250 0.250 0.250
Nb 0.750 0.750 0.750

AcHf2Nb after structural relaxation. Source: the Alexandria database, functional GGA-PBE.

Properties
As for the total DFT energy (no corrections): -33.21 eV per cell. The space group is P4/mmm (123). The formation energy from the elements is 219 meV per atom.

Unit cell a=3.544 b=3.544 c=8.187 alpha=90.00 beta=90.00 gamma=90.00
Sites, in units of the cell vectors:
Ac 0.000 0.000 0.000
Hf 0.500 0.500 0.312
Hf 0.500 0.500 0.688
Nb 0.000 0.000 0.500

AcHfNbO6 after structural relaxation. Source: the Alexandria database, functional GGA-PBE.

Properties
As for the total DFT energy (no corrections): -165.58 eV per cell. The space group is P-31c (163). The formation energy without anion corrections comes out at -3212 meV/atom.

Unit cell a=5.455 b=5.455 c=10.661 alpha=90.00 beta=90.00 gamma=120.00
Sites, in units of the cell vectors:
Ac 0.000 0.000 0.000
Ac 0.000 0.000 0.500
Hf 0.333 0.667 0.250
Hf 0.667 0.333 0.750
Nb 0.333 0.667 0.750
Nb 0.667 0.333 0.250
O 0.009 0.378 0.644
O 0.009 0.631 0.856
O 0.369 0.378 0.856
O 0.369 0.991 0.644
O 0.378 0.009 0.144
O 0.378 0.369 0.356
O 0.622 0.631 0.644
O 0.622 0.991 0.856
O 0.631 0.009 0.356
O 0.631 0.622 0.144
O 0.991 0.369 0.144
O 0.991 0.622 0.356

AcNd2Hf after structural relaxation. Source: the Alexandria database, functional GGA-PBE.

Properties
As for the total DFT energy (no corrections): -64.82 eV per cell. The space group is R-3m (166). The formation energy from the elements is 498 meV per atom.

Unit cell a=3.520 b=3.520 c=37.498 alpha=90.00 beta=90.00 gamma=120.00
Sites, in units of the cell vectors:
Ac 0.000 0.000 0.000
Ac 0.333 0.667 0.667
Ac 0.667 0.333 0.333
Nd 0.000 0.000 0.417
Nd 0.000 0.000 0.583
Nd 0.333 0.667 0.084
Nd 0.333 0.667 0.250
Nd 0.667 0.333 0.750
Nd 0.667 0.333 0.916
Hf 0.000 0.000 0.500
Hf 0.333 0.667 0.167
Hf 0.667 0.333 0.833

AcNdHf after structural relaxation. Source: the Alexandria database, functional GGA-PBE.

Properties
As for the total DFT energy (no corrections): -36.83 eV per cell. The space group is P4/nmm (129). The formation energy from the elements is 139 meV per atom.

Unit cell a=3.885 b=3.885 c=13.442 alpha=90.00 beta=90.00 gamma=90.00
Sites, in units of the cell vectors:
Ac 0.250 0.250 0.108
Ac 0.750 0.750 0.892
Nd 0.250 0.250 0.693
Nd 0.750 0.750 0.307
Hf 0.250 0.250 0.453
Hf 0.750 0.750 0.547

Ac2NdHf after structural relaxation. Source: the Alexandria database, functional GGA-PBE.

Properties
As for the total DFT energy (no corrections): -62.25 eV per cell. The space group is R-3m (166). The formation energy from the elements is 547 meV per atom.

Unit cell a=3.585 b=3.585 c=38.441 alpha=90.00 beta=90.00 gamma=120.00
Sites, in units of the cell vectors:
Ac 0.000 0.000 0.083
Ac 0.000 0.000 0.917
Ac 0.333 0.667 0.584
Ac 0.333 0.667 0.750
Ac 0.667 0.333 0.250
Ac 0.667 0.333 0.416
Nd 0.000 0.000 0.500
Nd 0.333 0.667 0.167
Nd 0.667 0.333 0.833
Hf 0.000 0.000 0.000
Hf 0.333 0.667 0.667
Hf 0.667 0.333 0.333